The following is a PBE-GGA calculation of crystalline Zr5Mo at its relaxed geometry, from Alexandria.

Calculated values
volume = 140.7 Å³/cell
VASP energy = -8.127 eV per atom
ΔE_f = 801.3 meV per atom
polymorph energy (0 for the lowest one) = 800.3 meV per atom

a b c (Å): 5.476 5.476 5.418
angles (deg): 90.00 90.00 120.00
Fractional coordinates of all 6 atoms:
Zr (0.500, 0.000, 0.500)
Mo (0.000, 0.000, 0.000)
Zr (0.500, 0.500, 0.500)
Zr (0.000, 0.500, 0.500)
Zr (0.333, 0.667, 0.000)
Zr (0.667, 0.333, 0.000)